Entry from the Alexandria database: a geometry-optimized La4DyEr2Tm structure (PBE-GGA).

Cell: 5.2238 5.2421 9.8519 Å, 90.00 90.00 90.00°
With the nearest neighbours (Å) after each atom.
Atoms (fractional coordinates):
1 La 0.0000 0.0000 0.2491  2 Tm 3.58, 4 Er 3.59-3.60, 2 Dy 3.60, 4 La 3.70
2 La 0.0000 0.0000 0.7509  2 Tm 3.58, 4 Er 3.59-3.60, 2 Dy 3.60, 4 La 3.70
3 La 0.5000 0.5000 0.2488  4 Er 3.58-3.60, 2 Tm 3.59, 2 Dy 3.60, 4 La 3.70
4 La 0.5000 0.5000 0.7512  4 Er 3.58-3.60, 2 Tm 3.59, 2 Dy 3.60, 4 La 3.70
5 Dy 0.0000 0.5000 0.5000  8 La 3.60, 4 Er 3.70
6 Er 0.0000 0.5000 0.0000  8 La 3.58-3.59, 4 Tm 3.70
7 Er 0.5000 0.0000 0.5000  8 La 3.60, 4 Dy 3.70
8 Tm 0.5000 0.0000 0.0000  8 La 3.58-3.59, 4 Er 3.70

Properties
- DOS at the Fermi energy (states/eV per atom) = 1.33
- M_tot (μB/f.u.) = 0.000
- energy (eV per cell) = -37.73
- energy relative to the elements (kcal/mol of atoms) = 0.52